Entry 1:
AcScInAg after structural relaxation, computed with GGA-PBE.

a b c (Å): 7.631 7.631 7.631
angles (deg): 90.00 90.00 90.00
Element x y z (fractional)
1 Ac 0.000 0.000 0.000
2 Ac 0.000 0.500 0.500
3 Ac 0.500 0.000 0.500
4 Ac 0.500 0.500 0.000
5 Sc 0.000 0.000 0.500
6 Sc 0.000 0.500 0.000
7 Sc 0.500 0.000 0.000
8 Sc 0.500 0.500 0.500
9 In 0.250 0.250 0.750
10 In 0.250 0.750 0.250
11 In 0.750 0.250 0.250
12 In 0.750 0.750 0.750
13 Ag 0.250 0.250 0.250
14 Ag 0.250 0.750 0.750
15 Ag 0.750 0.250 0.750
16 Ag 0.750 0.750 0.250

=====

Entry 2:
TaHg2Rh after structural relaxation, computed with GGA-PBE.

a b c (Å): 4.919 4.919 3.049
angles (deg): 90.00 90.00 90.00
Element x y z (fractional)
1 Ta 0.000 0.000 0.000
2 Hg 0.000 0.500 0.500
3 Hg 0.500 0.000 0.500
4 Rh 0.500 0.500 0.000

Summary:
Energy above the lowest structure with this stoichiometry ... 0.4533 eV/atom

=====

Entry 3:
SrDySn2Hg2 after structural relaxation, computed with GGA-PBE.

a b c (Å): 4.869 4.869 8.352
angles (deg): 90.00 90.00 120.00
Element x y z (fractional)
1 Sr 0.000 0.000 0.000
2 Dy 0.000 0.000 0.500
3 Sn 0.333 0.667 0.755
4 Sn 0.667 0.333 0.245
5 Hg 0.333 0.667 0.332
6 Hg 0.667 0.333 0.668

=====

Calculated total energy per entry: -4.252; -4.492; -2.984 eV/atom
E_form per entry: -244; 460; -502 meV per atom